1.
First-principles (PBE) data for a relaxed structure of Dy2AlGa3Ir4, as listed in Alexandria.

## Properties
Electronic total energy, eV per atom: -6.5035
Energy relative to the elements, meV/atom: -756
Volume, Å³ per atom: 18.28
Magnetic moment, μB/atom: 0.00

a b c (Å): 4.203 4.203 10.345
angles (deg): 90.00 90.00 90.00
Fractional coordinates of all 10 atoms:
Ir: 0.500 0.500 0.000
Dy: 0.000 0.500 0.767
Dy: 0.500 0.000 0.233
Ga: 0.000 0.000 0.500
Ga: 0.000 0.500 0.129
Ir: 0.000 0.000 0.000
Al: 0.500 0.500 0.500
Ir: 0.000 0.500 0.366
Ga: 0.500 0.000 0.871
Ir: 0.500 0.000 0.634

***

2.
First-principles (PBE) data for a relaxed structure of DyAlGaIr2, as listed in Alexandria.

## Properties
Electronic total energy, eV per atom: -6.4692
Energy relative to the elements, meV/atom: -651
Volume, Å³ per atom: 19.12
Magnetic moment, μB/atom: 0.00

a b c (Å): 4.497 7.198 6.218
angles (deg): 90.00 90.00 108.20
Fractional coordinates of all 10 atoms:
Ir: 0.824 0.648 0.022
Ga: 0.000 0.000 0.500
Dy: 0.370 0.740 0.750
Al: 0.683 0.366 0.750
Dy: 0.630 0.260 0.250
Ir: 0.176 0.352 0.978
Al: 0.317 0.634 0.250
Ir: 0.824 0.648 0.478
Ir: 0.176 0.352 0.522
Ga: 0.000 0.000 0.000

***

3.
First-principles (PBE) data for a relaxed structure of Dy2AlGa2Ir5, as listed in Alexandria.

## Properties
Electronic total energy, eV per atom: -7.0184
Energy relative to the elements, meV/atom: -688
Volume, Å³ per atom: 16.90
Magnetic moment, μB/atom: 0.00

a b c (Å): 3.525 9.791 9.791
angles (deg): 90.00 90.00 90.00
Fractional coordinates of all 20 atoms:
Dy: 0.000 0.826 0.674
Ga: 0.000 0.127 0.627
Ir: 0.500 0.201 0.063
Dy: 0.000 0.326 0.826
Al: 0.000 0.500 0.500
Ir: 0.500 0.437 0.299
Ir: 0.500 0.063 0.799
Ga: 0.000 0.627 0.873
Dy: 0.000 0.174 0.326
Ir: 0.500 0.799 0.937
Ga: 0.000 0.373 0.127
Dy: 0.000 0.674 0.174
Ir: 0.500 0.500 0.000
Ir: 0.500 0.299 0.563
Ir: 0.500 0.701 0.437
Al: 0.000 0.000 0.000
Ir: 0.500 0.563 0.701
Ir: 0.500 0.937 0.201
Ir: 0.500 0.000 0.500
Ga: 0.000 0.873 0.373

***

4.
First-principles (PBE) data for a relaxed structure of LiDyAlGa, as listed in Alexandria.

## Properties
Electronic total energy, eV per atom: -3.6580
Energy relative to the elements, meV/atom: -337
Volume, Å³ per atom: 20.03
Magnetic moment, μB/atom: 0.00

a b c (Å): 4.839 4.839 4.839
angles (deg): 60.00 60.00 60.00
Fractional coordinates of all 4 atoms:
Li: 0.750 0.750 0.750
Ga: 0.000 0.000 0.000
Al: 0.500 0.500 0.500
Dy: 0.250 0.250 0.250

***

5.
First-principles (PBE) data for a relaxed structure of Li2DyAl2Ga2, as listed in Alexandria.

## Properties
Electronic total energy, eV per atom: -3.5444
Energy relative to the elements, meV/atom: -406
Volume, Å³ per atom: 17.88
Magnetic moment, μB/atom: 0.00

a b c (Å): 4.325 4.333 8.091
angles (deg): 105.32 90.00 119.95
Fractional coordinates of all 7 atoms:
Li: 0.143 0.286 0.431
Al: 0.567 0.134 0.698
Ga: 0.262 0.524 0.784
Dy: 0.000 0.000 0.000
Li: 0.857 0.714 0.569
Al: 0.433 0.866 0.302
Ga: 0.738 0.476 0.216

***

6.
First-principles (PBE) data for a relaxed structure of Dy2Mg2AlGa4, as listed in Alexandria.

## Properties
Electronic total energy, eV per atom: -3.2322
Energy relative to the elements, meV/atom: -94
Volume, Å³ per atom: 23.50
Magnetic moment, μB/atom: 0.00

a b c (Å): 6.617 6.617 6.617
angles (deg): 94.11 117.66 117.66
Fractional coordinates of all 9 atoms:
Ga: 0.000 0.254 0.746
Dy: 0.000 0.691 0.691
Al: 0.000 0.000 0.000
Ga: 0.492 0.746 0.746
Mg: 0.500 0.750 0.250
Ga: 0.508 0.254 0.254
Mg: 0.500 0.250 0.750
Ga: 0.000 0.746 0.254
Dy: 0.000 0.309 0.309

***

7.
First-principles (PBE) data for a relaxed structure of Nd2DyAl2Ga2, as listed in Alexandria.

## Properties
Electronic total energy, eV per atom: -4.3680
Energy relative to the elements, meV/atom: -414
Volume, Å³ per atom: 25.44
Magnetic moment, μB/atom: 0.08

a b c (Å): 4.273 4.273 11.529
angles (deg): 79.32 79.32 60.00
Last column: magnetic moment on the atom in μB.
Fractional coordinates of all 7 atoms:
Ga: 0.271 0.271 0.187  0.00
Dy: 0.000 0.000 0.000  0.00
Nd: 0.878 0.878 0.367  0.09
Al: 0.392 0.392 0.824  0.00
Ga: 0.729 0.729 0.813  0.00
Nd: 0.122 0.122 0.633  0.09
Al: 0.608 0.608 0.176  0.00

***

8.
First-principles (PBE) data for a relaxed structure of NdDy2Al2Ga2, as listed in Alexandria.

## Properties
Electronic total energy, eV per atom: -4.3296
Energy relative to the elements, meV/atom: -400
Volume, Å³ per atom: 23.95
Magnetic moment, μB/atom: 0.00

a b c (Å): 4.389 4.389 10.364
angles (deg): 77.78 77.78 60.00
Fractional coordinates of all 7 atoms:
Al: 0.398 0.398 0.806
Dy: 0.871 0.871 0.387
Al: 0.602 0.602 0.194
Ga: 0.745 0.745 0.765
Ga: 0.255 0.255 0.235
Nd: 0.000 0.000 0.000
Dy: 0.129 0.129 0.613

***

9.
First-principles (PBE) data for a relaxed structure of Nd2Dy2AlGa4, as listed in Alexandria.

## Properties
Electronic total energy, eV per atom: -4.1419
Energy relative to the elements, meV/atom: -299
Volume, Å³ per atom: 24.61
Magnetic moment, μB/atom: 0.00

a b c (Å): 6.687 6.687 6.687
angles (deg): 96.33 116.42 116.42
Fractional coordinates of all 9 atoms:
Nd: 0.500 0.750 0.250
Dy: 0.000 0.685 0.685
Ga: 0.501 0.750 0.750
Nd: 0.500 0.250 0.750
Dy: 0.000 0.315 0.315
Ga: 0.000 0.250 0.750
Ga: 0.499 0.250 0.250
Ga: 0.000 0.750 0.250
Al: 0.000 0.000 0.000

***

10.
First-principles (PBE) data for a relaxed structure of DyAl2GaNi4, as listed in Alexandria.

## Properties
Electronic total energy, eV per atom: -5.2971
Energy relative to the elements, meV/atom: -517
Volume, Å³ per atom: 14.60
Magnetic moment, μB/atom: 0.00

a b c (Å): 4.070 4.070 8.473
angles (deg): 76.10 76.10 60.00
Fractional coordinates of all 8 atoms:
Al: 0.241 0.241 0.278
Ni: 0.404 0.404 0.789
Ga: 0.500 0.500 0.500
Al: 0.759 0.759 0.722
Ni: 0.596 0.596 0.211
Ni: 0.868 0.868 0.397
Dy: 0.000 0.000 0.000
Ni: 0.132 0.132 0.603

***

11.
First-principles (PBE) data for a relaxed structure of DyAl2GaNi2, as listed in Alexandria.

## Properties
Electronic total energy, eV per atom: -4.7567
Energy relative to the elements, meV/atom: -311
Volume, Å³ per atom: 17.58
Magnetic moment, μB/atom: 0.00

a b c (Å): 4.361 4.361 5.546
angles (deg): 90.00 90.00 90.00
Fractional coordinates of all 6 atoms:
Ni: 0.000 0.500 0.000
Ni: 0.500 0.000 0.000
Al: 0.500 0.500 0.252
Al: 0.500 0.500 0.748
Dy: 0.000 0.000 0.500
Ga: 0.000 0.000 0.000

***

12.
First-principles (PBE) data for a relaxed structure of Dy3AlGa2Ni9, as listed in Alexandria.

## Properties
Electronic total energy, eV per atom: -5.1908
Energy relative to the elements, meV/atom: -148
Volume, Å³ per atom: 17.60
Magnetic moment, μB/atom: 0.00

a b c (Å): 5.941 5.941 8.639
angles (deg): 90.00 90.00 120.00
Fractional coordinates of all 15 atoms:
Ni: 0.264 0.132 0.723
Ni: 0.868 0.132 0.723
Ni: 0.868 0.736 0.723
Ni: 0.500 0.500 0.000
Ga: 0.667 0.333 0.816
Ni: 0.132 0.264 0.277
Dy: 0.667 0.333 0.289
Ni: 0.132 0.868 0.277
Ga: 0.333 0.667 0.184
Ni: 0.736 0.868 0.277
Ni: 0.000 0.500 0.000
Ni: 0.500 0.000 0.000
Dy: 0.000 0.000 0.000
Dy: 0.333 0.667 0.711
Al: 0.000 0.000 0.500

***

13.
First-principles (PBE) data for a relaxed structure of DyAlGa2O6, as listed in Alexandria.

## Properties
ΔE_f (raw), eV/atom: -2.487
Electronic total energy, eV per atom: -6.9021
Volume, Å³ per atom: 10.81
Magnetic moment, μB/atom: 0.00

a b c (Å): 5.189 5.189 5.518
angles (deg): 61.96 61.96 60.00
Fractional coordinates of all 10 atoms:
O: 0.157 0.365 0.763
Dy: 0.798 0.798 0.607
O: 0.715 0.157 0.764
O: 0.365 0.715 0.763
Al: 0.320 0.320 0.041
O: 0.925 0.597 0.236
O: 0.597 0.242 0.236
Ga: 0.016 0.016 0.951
Ga: 0.528 0.528 0.416
O: 0.242 0.925 0.236

***

14.
First-principles (PBE) data for a relaxed structure of DyPaAlGa, as listed in Alexandria.

## Properties
Electronic total energy, eV per atom: -5.4144
Energy relative to the elements, meV/atom: -198
Volume, Å³ per atom: 23.02
Magnetic moment, μB/atom: 0.18

a b c (Å): 5.069 5.069 5.069
angles (deg): 60.00 60.00 60.00
Last column: magnetic moment on the atom in μB.
Fractional coordinates of all 4 atoms:
Dy: 0.500 0.500 0.500  0.09
Ga: 0.250 0.250 0.250  0.01
Al: 0.750 0.750 0.750  0.00
Pa: 0.000 0.000 0.000  0.50

***

15.
First-principles (PBE) data for a relaxed structure of Dy2AlGa2Pd5, as listed in Alexandria.

## Properties
Electronic total energy, eV per atom: -5.2687
Energy relative to the elements, meV/atom: -772
Volume, Å³ per atom: 17.76
Magnetic moment, μB/atom: 0.00

a b c (Å): 3.395 10.229 10.229
angles (deg): 90.00 90.00 90.00
Fractional coordinates of all 20 atoms:
Pd: 0.500 0.452 0.302
Pd: 0.500 0.802 0.952
Dy: 0.000 0.175 0.325
Ga: 0.000 0.628 0.872
Ga: 0.000 0.872 0.372
Pd: 0.500 0.548 0.698
Dy: 0.000 0.825 0.675
Al: 0.000 0.500 0.500
Pd: 0.500 0.198 0.048
Ga: 0.000 0.372 0.128
Ga: 0.000 0.128 0.628
Pd: 0.500 0.698 0.452
Al: 0.000 0.000 0.000
Pd: 0.500 0.302 0.548
Dy: 0.000 0.675 0.175
Pd: 0.500 0.500 0.000
Pd: 0.500 0.000 0.500
Dy: 0.000 0.325 0.825
Pd: 0.500 0.048 0.802
Pd: 0.500 0.952 0.198

***

16.
First-principles (PBE) data for a relaxed structure of Dy2AlGa3Pd4, as listed in Alexandria.

## Properties
Electronic total energy, eV per atom: -5.0861
Energy relative to the elements, meV/atom: -806
Volume, Å³ per atom: 18.54
Magnetic moment, μB/atom: 0.00

a b c (Å): 4.056 4.056 11.271
angles (deg): 90.00 90.00 90.00
Fractional coordinates of all 10 atoms:
Al: 0.500 0.500 0.500
Pd: 0.500 0.000 0.642
Ga: 0.000 0.500 0.136
Ga: 0.000 0.000 0.500
Dy: 0.500 0.000 0.250
Pd: 0.000 0.500 0.358
Pd: 0.500 0.500 0.000
Ga: 0.500 0.000 0.864
Pd: 0.000 0.000 0.000
Dy: 0.000 0.500 0.750

***

17.
First-principles (PBE) data for a relaxed structure of Dy2Al4GaPd3, as listed in Alexandria.

## Properties
Electronic total energy, eV per atom: -5.0524
Energy relative to the elements, meV/atom: -774
Volume, Å³ per atom: 18.75
Magnetic moment, μB/atom: 0.00

a b c (Å): 4.197 4.197 10.646
angles (deg): 90.00 90.00 90.00
Fractional coordinates of all 10 atoms:
Pd: 0.500 0.000 0.868
Al: 0.500 0.500 0.000
Dy: 0.500 0.000 0.249
Al: 0.500 0.000 0.639
Pd: 0.000 0.500 0.132
Pd: 0.000 0.000 0.500
Al: 0.000 0.500 0.361
Dy: 0.000 0.500 0.751
Al: 0.000 0.000 0.000
Ga: 0.500 0.500 0.500

***

18.
First-principles (PBE) data for a relaxed structure of Dy2AlGa4Pd3, as listed in Alexandria.

## Properties
Electronic total energy, eV per atom: -4.8070
Energy relative to the elements, meV/atom: -744
Volume, Å³ per atom: 18.66
Magnetic moment, μB/atom: 0.00

a b c (Å): 4.052 4.052 11.368
angles (deg): 90.00 90.00 90.00
Fractional coordinates of all 10 atoms:
Al: 0.500 0.500 0.500
Pd: 0.000 0.500 0.141
Dy: 0.000 0.500 0.750
Ga: 0.500 0.500 0.000
Ga: 0.000 0.000 0.000
Dy: 0.500 0.000 0.250
Pd: 0.500 0.000 0.859
Ga: 0.500 0.000 0.641
Ga: 0.000 0.500 0.359
Pd: 0.000 0.000 0.500

***

19.
First-principles (PBE) data for a relaxed structure of DyAlGa2Pd, as listed in Alexandria.

## Properties
Electronic total energy, eV per atom: -4.6054
Energy relative to the elements, meV/atom: -687
Volume, Å³ per atom: 18.42
Magnetic moment, μB/atom: 0.00

a b c (Å): 4.058 4.058 6.286
angles (deg): 108.83 108.83 90.00
Fractional coordinates of all 5 atoms:
Dy: 0.000 0.000 0.000
Al: 0.750 0.250 0.500
Pd: 0.250 0.750 0.500
Ga: 0.609 0.609 0.218
Ga: 0.391 0.391 0.782

***

20.
First-principles (PBE) data for a relaxed structure of DyAlGaPd, as listed in Alexandria.

## Properties
Electronic total energy, eV per atom: -4.7783
Energy relative to the elements, meV/atom: -637
Volume, Å³ per atom: 18.52
Magnetic moment, μB/atom: 0.00

a b c (Å): 4.714 4.714 4.714
angles (deg): 60.00 60.00 60.00
Fractional coordinates of all 4 atoms:
Al: 0.000 0.000 0.000
Dy: 0.500 0.500 0.500
Ga: 0.750 0.750 0.750
Pd: 0.250 0.250 0.250

***

21.
First-principles (PBE) data for a relaxed structure of DyAl2GaPd4, as listed in Alexandria.

## Properties
Electronic total energy, eV per atom: -5.2895
Energy relative to the elements, meV/atom: -804
Volume, Å³ per atom: 17.05
Magnetic moment, μB/atom: 0.00

a b c (Å): 4.314 4.314 8.823
angles (deg): 75.85 75.85 60.00
Fractional coordinates of all 8 atoms:
Pd: 0.133 0.133 0.602
Pd: 0.599 0.599 0.202
Al: 0.243 0.243 0.271
Pd: 0.867 0.867 0.398
Al: 0.757 0.757 0.729
Ga: 0.500 0.500 0.500
Pd: 0.401 0.401 0.798
Dy: 0.000 0.000 0.000

***

22.
First-principles (PBE) data for a relaxed structure of Dy2AlGaPd6, as listed in Alexandria.

## Properties
Electronic total energy, eV per atom: -5.3979
Energy relative to the elements, meV/atom: -685
Volume, Å³ per atom: 20.90
Magnetic moment, μB/atom: 0.00

a b c (Å): 5.640 8.268 5.639
angles (deg): 69.88 59.96 89.95
Fractional coordinates of all 10 atoms:
Pd: 0.750 0.742 0.500
Dy: 0.795 0.386 0.411
Pd: 0.250 0.258 0.500
Pd: 0.751 0.743 0.002
Al: 0.500 0.500 0.000
Pd: 0.754 0.257 0.998
Dy: 0.205 0.614 0.589
Pd: 0.249 0.257 0.998
Ga: 0.000 0.000 0.000
Pd: 0.246 0.743 0.002

***

23.
First-principles (PBE) data for a relaxed structure of PrDyAlGa, as listed in Alexandria.

## Properties
Electronic total energy, eV per atom: -4.4897
Energy relative to the elements, meV/atom: -452
Volume, Å³ per atom: 24.65
Magnetic moment, μB/atom: 0.00

a b c (Å): 5.186 5.186 5.186
angles (deg): 60.00 60.00 60.00
Fractional coordinates of all 4 atoms:
Al: 0.500 0.500 0.500
Dy: 0.250 0.250 0.250
Ga: 0.000 0.000 0.000
Pr: 0.750 0.750 0.750

***

24.
First-principles (PBE) data for a relaxed structure of PrDyAlGa, as listed in Alexandria.

## Properties
Electronic total energy, eV per atom: -4.5176
Energy relative to the elements, meV/atom: -480
Volume, Å³ per atom: 26.21
Magnetic moment, μB/atom: 0.00

a b c (Å): 4.467 4.169 6.057
angles (deg): 90.00 111.64 90.00
Fractional coordinates of all 4 atoms:
Al: 0.428 0.000 0.856
Pr: 0.142 0.000 0.283
Ga: 0.570 0.500 0.141
Dy: 0.860 0.500 0.720